[1]
# CaMn5Cl12

A relaxed structure of CaMn5Cl12 (PBE, Alexandria via LeMat-Bulk).

Lattice parameters (Å, degrees): 6.535 6.535 13.070 90.06 90.06 120.07
Element x y z (fractional)
Ca (0.000, 0.000, 0.000)
Mn (0.167, 0.833, 0.500)
Mn (0.333, 0.667, 0.000)
Mn (0.500, 0.500, 0.500)
Mn (0.667, 0.333, 0.000)
Mn (0.833, 0.167, 0.500)
Cl (0.001, 0.357, 0.109)
Cl (0.166, 0.166, 0.396)
Cl (0.167, 0.500, 0.604)
Cl (0.356, 0.356, 0.891)
Cl (0.357, 0.001, 0.109)
Cl (0.500, 0.167, 0.604)
Cl (0.500, 0.833, 0.396)
Cl (0.643, 0.999, 0.891)
Cl (0.644, 0.644, 0.109)
Cl (0.833, 0.500, 0.396)
Cl (0.834, 0.834, 0.604)
Cl (0.999, 0.643, 0.891)

* E_form (uncorrected): -23.304 eV per formula unit



[2]
# AlCuNi

A relaxed structure of AlCuNi (PBE, Alexandria via LeMat-Bulk).

Lattice parameters (Å, degrees): 3.708 3.708 5.836 90.00 90.00 90.00
Element x y z (fractional)
Al (0.250, 0.750, 0.000)
Al (0.750, 0.250, 0.000)
Cu (0.250, 0.250, 0.317)
Cu (0.750, 0.750, 0.683)
Ni (0.250, 0.250, 0.728)
Ni (0.750, 0.750, 0.272)

* energy relative to the elements: -8.0 kJ per mole of atoms



[3]
# Dy7ErTm12

A relaxed structure of Dy7ErTm12 (PBE, Alexandria via LeMat-Bulk).

Lattice parameters (Å, degrees): 9.603 9.603 9.603 109.47 109.47 109.47
Element x y z (fractional)
Dy (0.000, 0.000, 0.500)
Dy (0.000, 0.500, 0.000)
Dy (0.000, 0.500, 0.500)
Dy (0.500, 0.000, 0.000)
Dy (0.500, 0.000, 0.500)
Dy (0.500, 0.500, 0.000)
Dy (0.500, 0.500, 0.500)
Er (0.000, 0.000, 0.000)
Tm (0.000, 0.249, 0.751)
Tm (0.000, 0.751, 0.249)
Tm (0.249, 0.000, 0.751)
Tm (0.249, 0.249, 0.497)
Tm (0.249, 0.497, 0.249)
Tm (0.249, 0.751, 0.000)
Tm (0.497, 0.249, 0.249)
Tm (0.503, 0.751, 0.751)
Tm (0.751, 0.000, 0.249)
Tm (0.751, 0.249, 0.000)
Tm (0.751, 0.503, 0.751)
Tm (0.751, 0.751, 0.503)

* energy relative to the elements: 71.9 kJ per mole of atoms



[4]
# ZnCu4Au7

A relaxed structure of ZnCu4Au7 (PBE, Alexandria via LeMat-Bulk).

Lattice parameters (Å, degrees): 6.164 6.164 9.261 120.56 120.56 45.86
Element x y z (fractional)
Zn (0.000, 0.000, 0.000)
Cu (0.286, 0.286, 0.668)
Cu (0.433, 0.433, 0.224)
Cu (0.567, 0.567, 0.776)
Cu (0.714, 0.714, 0.332)
Au (0.077, 0.077, 0.329)
Au (0.212, 0.212, 0.893)
Au (0.358, 0.358, 0.440)
Au (0.500, 0.500, 0.000)
Au (0.642, 0.642, 0.560)
Au (0.788, 0.788, 0.107)
Au (0.923, 0.923, 0.671)

* energy relative to the elements: 7.2 kJ per mole of atoms